(1)
A plane-wave DFT calculation with GGA-PBE was carried out for a relaxed Re2BRuC crystal.

energy of formation from the pure elements: 2782 meV per atom
V: 16.5 Å³/atom

a = 4.7373 Å, b = 3.6829 Å, c = 4.7373 Å
α = 90.00°, β = 90.00°, γ = 90.00°
Atoms (fractional coordinates):
Re1 0.0000 0.0000 0.5000
C1 0.0000 0.5000 0.0000
Ru1 0.0000 0.0000 0.0000
Re2 0.5000 0.0000 0.0000
B1 0.5000 0.5000 0.5000


(2)
A plane-wave DFT calculation with GGA-PBE was carried out for a relaxed ReSiBC2 crystal.

formation energy (no corrections): 2.07 eV/atom
V: 10.9 Å³/atom

a = 3.4989 Å, b = 4.4410 Å, c = 3.4989 Å
α = 90.00°, β = 90.00°, γ = 90.00°
Atoms (fractional coordinates):
C1 0.0000 0.0000 0.5000
Re1 0.5000 0.5000 0.5000
Si1 0.0000 0.0000 0.0000
B1 0.0000 0.5000 0.0000
C2 0.5000 0.0000 0.0000


(3)
A plane-wave DFT calculation with GGA-PBE was carried out for a relaxed Tb2Re2B2C crystal.

energy of formation from the pure elements: -405 meV per atom
V: 15.2 Å³/atom

a = 3.5701 Å, b = 5.7514 Å, c = 5.9515 Å
α = 70.25°, β = 72.55°, γ = 71.92°
Atoms (fractional coordinates):
B1 0.8389 0.6021 0.7201
Re1 0.2055 0.6839 0.9050
B2 0.1611 0.3979 0.2799
Re2 0.7945 0.3161 0.0950
Tb1 0.5732 0.1811 0.6726
C1 0.0000 0.0000 0.0000
Tb2 0.4268 0.8189 0.3274


(4)
A plane-wave DFT calculation with GGA-PBE was carried out for a relaxed Th2Re2B2C crystal.

energy of formation from the pure elements: -254 meV per atom
V: 17.0 Å³/atom

a = 3.5679 Å, b = 5.5421 Å, c = 7.7602 Å
α = 53.88°, β = 103.28°, γ = 90.00°
Atoms (fractional coordinates):
B1 0.3333 0.6128 0.6665
Th1 0.3481 0.0887 0.6958
Th2 0.6519 0.9113 0.3042
B2 0.6667 0.3872 0.3335
Re1 0.9291 0.4421 0.8581
C1 0.0000 0.0000 0.0000
Re2 0.0709 0.5579 0.1419


(5)
A plane-wave DFT calculation with GGA-PBE was carried out for a relaxed UReBC crystal.

energy of formation from the pure elements: -220 meV per atom
V: 13.2 Å³/atom

a = 3.6234 Å, b = 3.6234 Å, c = 8.0625 Å
α = 90.00°, β = 90.00°, γ = 90.00°
Each line ends with the local moment (μB).
Atoms (fractional coordinates):
U1 0.0000 0.5000 0.8365  1.39
B1 0.0000 0.5000 0.3188  -0.01
C1 0.5000 0.0000 0.8755  -0.06
U2 0.5000 0.0000 0.1635  1.39
Re1 0.5000 0.5000 0.5000  0.02
Re2 0.0000 0.0000 0.5000  0.02
B2 0.5000 0.0000 0.6812  -0.01
C2 0.0000 0.5000 0.1245  -0.06


(6)
A plane-wave DFT calculation with GGA-PBE was carried out for a relaxed ReBWC2 crystal.

energy of formation from the pure elements: 2255 meV per atom
V: 11.3 Å³/atom

a = 3.6045 Å, b = 4.3384 Å, c = 3.6045 Å
α = 90.00°, β = 90.00°, γ = 90.00°
Atoms (fractional coordinates):
C1 0.0000 0.0000 0.5000
C2 0.5000 0.0000 0.0000
Re1 0.0000 0.5000 0.0000
W1 0.5000 0.5000 0.5000
B1 0.0000 0.0000 0.0000


(7)
A plane-wave DFT calculation with GGA-PBE was carried out for a relaxed Y2Re2B2C crystal.

energy of formation from the pure elements: -415 meV per atom
V: 15.1 Å³/atom

a = 3.5583 Å, b = 5.7484 Å, c = 5.9206 Å
α = 70.37°, β = 72.51°, γ = 71.97°
Atoms (fractional coordinates):
C1 0.0000 0.0000 0.0000
B1 0.8417 0.5998 0.7168
Re1 0.7940 0.3163 0.0957
Re2 0.2060 0.6837 0.9043
Y1 0.5731 0.1809 0.6729
B2 0.1583 0.4002 0.2832
Y2 0.4269 0.8191 0.3271


(8)
A plane-wave DFT calculation with GGA-PBE was carried out for a relaxed BRhC3 crystal.

energy above the lowest structure with this stoichiometry: 0 meV per atom
energy of formation from the pure elements: 2248 meV per atom
V: 8.4 Å³/atom

a = 3.4775 Å, b = 3.4775 Å, c = 3.4775 Å
α = 90.00°, β = 90.00°, γ = 90.00°
Atoms (fractional coordinates):
B1 0.0000 0.0000 0.0000
C1 0.5000 0.0000 0.0000
C2 0.0000 0.0000 0.5000
Rh1 0.5000 0.5000 0.5000
C3 0.0000 0.5000 0.0000